1.
Below is an optimized crystal structure of BaCuBr, with properties calculated at the PBE level.

POSCAR file:
```
BaCuBr
1.0
4.871 0.000 0.000
-2.435 4.218 0.000
0.000 0.000 5.529
Ba Br Cu
1 1 1
direct
0.000 0.000 0.996
0.667 0.333 0.309
0.333 0.667 0.694
```

Values from the calculation:
- density of states at the Fermi level (states/eV/cell) = 0.00
- E_tot (eV per cell) = -9.66
- total moment (μB/f.u.) = 0.00
- excess energy over the best structure of this formula in the dataset (meV per atom) = 83

=====

2.
Below is an optimized crystal structure of Ba2CuBr, with properties calculated at the PBE level.

POSCAR file:
```
Ba2CuBr
1.0
6.881 0.011 -0.008
5.573 4.036 -0.008
0.006 0.002 5.190
Ba Br Cu
2 1 1
direct
0.001 0.001 0.125
0.751 0.751 0.625
0.489 0.489 0.625
0.259 0.259 0.125
```

Values from the calculation:
- density of states at the Fermi level (states/eV/cell) = 4.42
- E_tot (eV per cell) = -12.28
- total moment (μB/f.u.) = 0.00
- excess energy over the best structure of this formula in the dataset (meV per atom) = 126

=====

3.
Below is an optimized crystal structure of BaCuBr, with properties calculated at the PBE level.

POSCAR file:
```
BaCuBr
1.0
5.449 0.000 0.000
2.724 4.719 0.000
2.724 1.573 4.449
Ba Br Cu
1 1 1
direct
0.750 0.750 0.750
0.000 0.000 0.000
0.500 0.500 0.500
```

Values from the calculation:
- density of states at the Fermi level (states/eV/cell) = 0.00
- E_tot (eV per cell) = -9.91
- total moment (μB/f.u.) = 0.00
- excess energy over the best structure of this formula in the dataset (meV per atom) = 0

=====

4.
Below is an optimized crystal structure of BaCuBr, with properties calculated at the PBE level.

POSCAR file:
```
BaCuBr
1.0
5.996 -0.020 0.023
4.514 3.948 0.027
1.481 0.554 3.929
Ba Br Cu
1 1 1
direct
0.005 0.005 0.995
0.336 0.336 0.664
0.658 0.658 0.342
```

Values from the calculation:
- E_tot (eV per cell) = -9.73
- total moment (μB/f.u.) = 0.00
- excess energy over the best structure of this formula in the dataset (meV per atom) = 58

=====

5.
Below is an optimized crystal structure of BaCuBr4, with properties calculated at the PBE level.

POSCAR file:
```
BaCuBr4
1.0
7.231 0.000 0.000
0.000 7.231 0.000
-3.615 -3.615 7.762
Ba Cu Br
2 2 8
direct
0.000 0.000 0.000
0.750 0.250 0.500
0.500 0.500 0.000
0.250 0.750 0.500
0.035 0.940 0.358
0.168 0.285 0.858
0.690 0.573 0.858
0.323 0.418 0.358
0.427 0.832 0.142
0.060 0.677 0.642
0.582 0.965 0.642
0.715 0.310 0.142
```

Values from the calculation:
- density of states at the Fermi level (states/eV/cell) = 10.19
- E_tot (eV per cell) = -39.46
- total moment (μB/f.u.) = 1.06
- excess energy over the best structure of this formula in the dataset (meV per atom) = 15

=====

6.
Below is an optimized crystal structure of BaCuBr4, with properties calculated at the PBE level.

POSCAR file:
```
BaCuBr4
1.0
-3.390 4.527 3.600
-3.853 -1.289 -5.333
1.220 -5.553 3.552
Ba Cu Br
1 1 4
direct
0.750 0.250 0.500
0.500 0.500 0.000
0.272 0.274 0.542
0.732 0.730 0.458
0.270 0.728 0.002
0.726 0.268 0.998
```

Values from the calculation:
- density of states at the Fermi level (states/eV/cell) = 2.03
- E_tot (eV per cell) = -19.82
- total moment (μB/f.u.) = 0.87
- excess energy over the best structure of this formula in the dataset (meV per atom) = 0

=====

E_form (uncorrected) for every record listed, in sequence, given in kcal/mol of atoms: -15.12, -15.38, -17.03, -15.69, -26.98, -27.32.